Compound: NpBi
Source: the Alexandria database
Functional: GGA-PBE
Structure: optimized geometry

Properties
total magnetic moment: 4.36 μB per cell
energy of formation: 118 meV/atom

Cell and atoms, written as POSCAR:
```
NpBi
1.0
-2.8510 -1.8026 -1.8197
0.8033 -3.2147 1.9259
-2.4322 1.0512 2.7691
Np Bi
1 1
Direct
0.5000 0.5000 0.5000
0.0000 0.0000 0.0000
```